(a)
## ThHgPd6 (GGA-PBE)

Data for a geometry-optimized ThHgPd6 structure.

The structure belongs to space group P4/mmm (No. 123); the cell edges are 4.170, 4.170 and 8.171 Å and the angles 90.00°, 90.00° and 90.00°. The inequivalent atoms are Th at (0.000, 0.000, 0.000), Hg at (0.000, 0.000, 0.500), Pd at (0.000, 0.500, 0.253), Pd at (0.500, 0.500, 0.000) and Pd at (0.500, 0.500, 0.500).

The volume is 17.76 Å³ per atom.

=====

(b)
## ThHgPd6 (GGA-PBE)

Data for a geometry-optimized ThHgPd6 structure.

The structure belongs to space group C2/m (No. 12); the cell edges are 8.436, 5.495 and 7.240 Å and the angles 90.00°, 106.82° and 90.00°. The inequivalent atoms are Th at (0.000, 0.000, 0.000), Hg at (0.000, 0.500, 0.500), Pd at (0.136, 0.000, 0.432) and Pd at (0.205, 0.241, 0.798).

The volume is 20.08 Å³ per atom.

=====

Which structure wins on stability? (a) wins.

=====

(a)
## TiHgPd3 (GGA-PBE)

Data for a geometry-optimized TiHgPd3 structure.

The structure belongs to space group Ama2 (No. 40); the cell edges are 8.878, 7.533 and 5.196 Å and the angles 90.00°, 90.00° and 90.00°. The inequivalent atoms are Ti at (0.000, 0.000, 0.000), Hg at (0.250, 0.169, 0.307), Pd at (0.067, 0.339, 0.946) and Pd at (0.250, 0.055, 0.784).

The volume is 17.38 Å³ per atom.

=====

(b)
## TiHgPd3 (GGA-PBE)

Data for a geometry-optimized TiHgPd3 structure.

The structure belongs to space group Pm-3m (No. 221); the cell edges are 4.961, 4.961 and 4.961 Å and the angles 90.00°, 90.00° and 90.00°. The inequivalent atoms are Ti at (0.000, 0.000, 0.000), Hg at (0.500, 0.500, 0.500) and Pd at (0.000, 0.500, 0.500).

The volume is 24.43 Å³ per atom.

=====

Which structure wins on stability? (a) wins.

=====

(a)
## TiHg2Pd (GGA-PBE)

Data for a geometry-optimized TiHg2Pd structure.

The structure belongs to space group I-42d (No. 122); the cell edges are 7.615, 7.615 and 5.705 Å and the angles 90.00°, 90.00° and 90.00°. The inequivalent atoms are Ti at (0.000, 0.000, 0.000), Hg at (0.245, 0.750, 0.625) and Pd at (0.000, 0.000, 0.500).

The volume is 20.68 Å³ per atom.

=====

(b)
## TiHg2Pd (GGA-PBE)

Data for a geometry-optimized TiHg2Pd structure.

The structure belongs to space group P4/mmm (No. 123); the cell edges are 3.355, 3.355 and 6.561 Å and the angles 90.00°, 90.00° and 90.00°. The inequivalent atoms are Ti at (0.000, 0.000, 0.000), Hg at (0.500, 0.500, 0.256) and Pd at (0.000, 0.000, 0.500).

The volume is 18.46 Å³ per atom.

=====

Which structure wins on stability? (b) wins.